[1]
DyTh3Pb12: optimized geometry, PBE.

a b c (Å): 4.951 4.951 19.182
angles (deg): 90.00 90.00 90.00
Space group P4/mmm (No. 123)
Asymmetric unit:
Dy  0.000  0.000  0.000 (multiplicity 1)
Th  0.000  0.000  0.251 (multiplicity 2)
Th  0.000  0.000  0.500 (multiplicity 1)
Pb  0.000  0.500  0.122 (multiplicity 4)
Pb  0.000  0.500  0.374 (multiplicity 4)
Pb  0.500  0.500  0.000 (multiplicity 1)
Pb  0.500  0.500  0.248 (multiplicity 2)
Pb  0.500  0.500  0.500 (multiplicity 1)

Values from the calculation:
- energy of formation (eV/atom) = -0.245
- N(E_F) (states/eV/atom) = 0.537

[2]
DyThPb2: optimized geometry, PBE.

a b c (Å): 5.063 5.063 4.552
angles (deg): 90.00 90.00 90.00
Space group P4/mmm (No. 123)
Asymmetric unit:
Dy  0.000  0.000  0.000 (multiplicity 1)
Th  0.500  0.500  0.000 (multiplicity 1)
Pb  0.000  0.500  0.500 (multiplicity 2)

Values from the calculation:
- energy of formation (eV/atom) = -0.343
- N(E_F) (states/eV/atom) = 1.211

[3]
DyThPb2: optimized geometry, PBE.

a b c (Å): 3.596 3.596 8.997
angles (deg): 90.00 90.00 90.00
Space group P4/mmm (No. 123)
Asymmetric unit:
Dy  0.000  0.000  0.000 (multiplicity 1)
Th  0.000  0.000  0.500 (multiplicity 1)
Pb  0.500  0.500  0.241 (multiplicity 2)

Values from the calculation:
- energy of formation (eV/atom) = -0.355
- N(E_F) (states/eV/atom) = 0.759

[4]
DyThPb6: optimized geometry, PBE.

a b c (Å): 4.899 4.899 9.763
angles (deg): 90.00 90.00 90.00
Space group P4/mmm (No. 123)
Asymmetric unit:
Dy  0.000  0.000  0.000 (multiplicity 1)
Th  0.000  0.000  0.500 (multiplicity 1)
Pb  0.000  0.500  0.246 (multiplicity 4)
Pb  0.500  0.500  0.000 (multiplicity 1)
Pb  0.500  0.500  0.500 (multiplicity 1)

Values from the calculation:
- energy of formation (eV/atom) = -0.249
- N(E_F) (states/eV/atom) = 0.753

[5]
Dy12Th5Pb3: optimized geometry, PBE.

a b c (Å): 18.302 18.302 18.302
angles (deg): 90.00 90.00 90.00
Space group Ia-3d (No. 230)
Asymmetric unit:
Dy  0.006  0.079  0.653 (multiplicity 96)
Th  0.000  0.000  0.000 (multiplicity 16)
Th  0.000  0.250  0.375 (multiplicity 24)
Pb  0.000  0.250  0.125 (multiplicity 24)

Values from the calculation:
- energy of formation (eV/atom) = 0.906
- N(E_F) (states/eV/atom) = 1.571

[6]
DyTh3Pb4: optimized geometry, PBE.

a b c (Å): 6.444 6.444 12.873
angles (deg): 90.00 90.00 90.00
Space group I4/mmm (No. 139)
Asymmetric unit:
Dy  0.000  0.000  0.000 (multiplicity 2)
Th  0.000  0.000  0.500 (multiplicity 2)
Th  0.000  0.500  0.250 (multiplicity 4)
Pb  0.000  0.000  0.247 (multiplicity 4)
Pb  0.000  0.500  0.000 (multiplicity 4)

Values from the calculation:
- energy of formation (eV/atom) = -0.282
- N(E_F) (states/eV/atom) = 0.615

[7]
Dy2ThPb: optimized geometry, PBE.

a b c (Å): 6.195 3.578 11.215
angles (deg): 90.00 100.55 90.00
Space group Cm (No. 8)
Asymmetric unit:
Dy  0.000  0.000  0.000 (multiplicity 2)
Dy  0.174  0.000  0.522 (multiplicity 2)
Th  0.254  0.500  0.261 (multiplicity 2)
Pb  0.087  0.500  0.761 (multiplicity 2)

Values from the calculation:
- energy relative to the lowest polymorph listed for this composition (meV per atom) = 100
- energy of formation (eV/atom) = -0.133
- N(E_F) (states/eV/atom) = 1.255

[8]
DyThPb2: optimized geometry, PBE.

a b c (Å): 3.5869 3.5869 32.1438
angles (deg): 90.00 90.00 120.00
Space group R-3m (No. 166, hexagonal axes)
Asymmetric unit:
Dy  0.0000  0.0000  0.0000 (multiplicity 3)
Th  0.0000  0.0000  0.5000 (multiplicity 3)
Pb  0.0000  0.0000  0.2526 (multiplicity 6)

Values from the calculation:
- energy of formation (eV/atom) = -0.244
- N(E_F) (states/eV/atom) = 0.928